Compound: LaIr
Source: Alexandria
Functional: PBE-GGA
Structure: relaxed

Energy of formation   -0.447 eV/atom
Electronic total energy   -88.1 eV per cell

```
12
Lattice="8.069 0.000 0.000 -4.034 6.988 0.000 0.000 0.000 5.601" Properties=species:S:1:pos:R:3 pbc="T T T"
La -0.629 2.511 1.400
La -1.545 6.277 1.400
La 1.860 1.800 4.201
La 2.174 5.188 1.400
La 5.579 0.711 4.201
La 4.663 4.476 4.201
Ir -0.644 3.195 4.201
Ir -0.945 5.948 4.201
Ir 2.445 2.156 1.400
Ir 1.589 4.832 4.201
Ir 4.979 1.040 1.400
Ir 4.679 3.792 1.400
```